# 1
Here is an optimized crystal structure of La2Ag2Pt from Alexandria. Energies are from PBE.

The space group is P4/mbm (No. 127) and the conventional cell measures 7.6186, 7.6186 and 4.3091 Å, with angles of 90.00, 90.00 and 90.00 degrees. The distinct sites, in fractional coordinates, are La at (0.1804, 0.3196, 0.0000), Ag at (0.1272, 0.6272, 0.5000) and Pt at (0.0000, 0.0000, 0.5000).

The formation energy comes out at -0.38 eV per atom. The density of states at the Fermi level comes out at 7.323 states/eV per cell. The volume is 25.01 Å³/atom.

# 2
Here is an optimized crystal structure of La6Ag2Pt from Alexandria. Energies are from PBE.

The space group is P2_1/c (No. 14) and the conventional cell measures 6.6145, 8.0573 and 12.4201 Å, with angles of 90.00, 119.39 and 90.00 degrees. The distinct sites, in fractional coordinates, are La at (0.0930, 0.2030, 0.4425), La at (0.3010, 0.6608, 0.4522), La at (0.3869, 0.0396, 0.2439), Ag at (0.1414, 0.1107, 0.7298) and Pt at (0.5000, 0.0000, 0.5000).

The formation energy comes out at -0.33 eV per atom. The density of states at the Fermi level comes out at 24.475 states/eV per cell. The volume is 32.04 Å³/atom.